[1]
## SrCoSi (GGA-PBEsol)

Data for a relaxed structure of SrCoSi. Values from VASP.

Output
Final energy in eV/atom: -5.218
M_tot in μB per cell: 0.2
Space group: I4mm, No. 107
Formation energy (no corrections) in eV/atom: -0.110

Cell and atoms, written as Quantum ESPRESSO input:
```
&SYSTEM
  ibrav = 0, nat = 3, ntyp = 3
/
ATOMIC_SPECIES
Sr 87.62 Sr.upf
Si 28.09 Si.upf
Co 58.93 Co.upf
CELL_PARAMETERS angstrom
-2.808 -0.325 1.312
-1.271 -0.394 -2.818
2.851 -5.074 1.146
ATOMIC_POSITIONS crystal
Sr 0.664 0.664 0.328
Si 0.381 0.381 0.762
Co 0.955 0.955 0.910
```

---

[2]
## Sr4CoSi (GGA-PBEsol)

Data for a relaxed structure of Sr4CoSi. Values from VASP.

Output
Final energy in eV/atom: -2.407
M_tot in μB per cell: 1.0
Space group: F-43m, No. 216
Formation energy (no corrections) in eV/atom: 1.068

Cell and atoms, written as Quantum ESPRESSO input:
```
&SYSTEM
  ibrav = 0, nat = 6, ntyp = 3
/
ATOMIC_SPECIES
Co 58.93 Co.upf
Sr 87.62 Sr.upf
Si 28.09 Si.upf
CELL_PARAMETERS angstrom
6.479 0.000 0.000
3.240 5.611 0.000
3.240 1.870 5.290
ATOMIC_POSITIONS crystal
Co 0.750 0.750 0.750
Sr 0.375 0.876 0.375
Sr 0.375 0.375 0.375
Sr 0.876 0.375 0.375
Si 0.000 0.000 0.000
Sr 0.375 0.375 0.876
```

---

[3]
## SrCo4Si (GGA-PBEsol)

Data for a relaxed structure of SrCo4Si. Values from VASP.

Output
Final energy in eV/atom: -6.117
M_tot in μB per cell: 4.9
Space group: F-43m, No. 216
Formation energy (no corrections) in eV/atom: 0.306

Cell and atoms, written as Quantum ESPRESSO input:
```
&SYSTEM
  ibrav = 0, nat = 6, ntyp = 3
/
ATOMIC_SPECIES
Co 58.93 Co.upf
Sr 87.62 Sr.upf
Si 28.09 Si.upf
CELL_PARAMETERS angstrom
4.878 0.000 0.000
2.439 4.224 0.000
2.439 1.408 3.983
ATOMIC_POSITIONS crystal
Co 0.869 0.377 0.377
Sr 0.000 0.000 0.000
Si 0.750 0.750 0.750
Co 0.377 0.869 0.377
Co 0.377 0.377 0.869
Co 0.377 0.377 0.377
```

---

[4]
## SrCoSi4 (GGA-PBEsol)

Data for a relaxed structure of SrCoSi4. Values from VASP.

Output
Final energy in eV/atom: -5.117
M_tot in μB per cell: 2.1
Space group: F-43m, No. 216
Formation energy (no corrections) in eV/atom: 0.311

Cell and atoms, written as Quantum ESPRESSO input:
```
&SYSTEM
  ibrav = 0, nat = 6, ntyp = 3
/
ATOMIC_SPECIES
Si 28.09 Si.upf
Co 58.93 Co.upf
Sr 87.62 Sr.upf
CELL_PARAMETERS angstrom
-2.317 1.921 -4.248
-2.570 -3.177 -3.225
-5.196 0.206 -0.264
ATOMIC_POSITIONS crystal
Si 0.884 0.372 0.372
Si 0.372 0.372 0.884
Si 0.372 0.372 0.372
Si 0.372 0.884 0.372
Co 0.000 0.000 0.000
Sr 0.750 0.750 0.750
```

---

[5]
## Sr2CoSi (GGA-PBEsol)

Data for a relaxed structure of Sr2CoSi. Values from VASP.

Output
Final energy in eV/atom: -3.974
M_tot in μB per cell: 0.9
Space group: P4/mmm, No. 123
Formation energy (no corrections) in eV/atom: 0.317

Cell and atoms, written as Quantum ESPRESSO input:
```
&SYSTEM
  ibrav = 0, nat = 4, ntyp = 3
/
ATOMIC_SPECIES
Co 58.93 Co.upf
Si 28.09 Si.upf
Sr 87.62 Sr.upf
CELL_PARAMETERS angstrom
3.737 0.000 0.000
0.000 3.737 0.000
0.000 0.000 6.993
ATOMIC_POSITIONS crystal
Co 0.500 0.500 0.000
Si 0.500 0.500 0.500
Sr 0.000 0.000 0.756
Sr 0.000 0.000 0.244
```

---

[6]
## SrCoSi (GGA-PBEsol)

Data for a relaxed structure of SrCoSi. Values from VASP.

Output
Final energy in eV/atom: -5.369
M_tot in μB per cell: 0.0
Space group: P-6m2, No. 187
Formation energy (no corrections) in eV/atom: -0.261

Cell and atoms, written as Quantum ESPRESSO input:
```
&SYSTEM
  ibrav = 0, nat = 3, ntyp = 3
/
ATOMIC_SPECIES
Sr 87.62 Sr.upf
Co 58.93 Co.upf
Si 28.09 Si.upf
CELL_PARAMETERS angstrom
-2.515 2.421 1.742
1.411 -3.076 1.943
3.574 2.609 1.534
ATOMIC_POSITIONS crystal
Sr 0.667 0.333 0.500
Co 0.000 0.000 0.000
Si 0.333 0.667 0.000
```

---

[7]
## Sr2CoSi (GGA-PBEsol)

Data for a relaxed structure of Sr2CoSi. Values from VASP.

Output
Final energy in eV/atom: -4.365
M_tot in μB per cell: 0.0
Space group: Imm2, No. 44
Formation energy (no corrections) in eV/atom: -0.074

Cell and atoms, written as Quantum ESPRESSO input:
```
&SYSTEM
  ibrav = 0, nat = 4, ntyp = 3
/
ATOMIC_SPECIES
Si 28.09 Si.upf
Sr 87.62 Sr.upf
Co 58.93 Co.upf
CELL_PARAMETERS angstrom
3.824 0.000 0.000
0.000 5.066 0.000
-1.912 -2.533 5.026
ATOMIC_POSITIONS crystal
Si 0.818 0.318 0.636
Sr 0.030 0.030 0.060
Co 0.422 0.422 0.844
Sr 0.230 0.730 0.461
```

---

[8]
## TaCo6Si (GGA-PBEsol)

Data for a relaxed structure of TaCo6Si. Values from VASP.

Output
Final energy in eV/atom: -8.381
M_tot in μB per cell: 2.2
Space group: Cmmm, No. 65
Formation energy (no corrections) in eV/atom: -0.291

Cell and atoms, written as Quantum ESPRESSO input:
```
&SYSTEM
  ibrav = 0, nat = 32, ntyp = 3
/
ATOMIC_SPECIES
Co 58.93 Co.upf
Ta 180.95 Ta.upf
Si 28.09 Si.upf
CELL_PARAMETERS angstrom
-4.550 4.048 -0.225
-0.659 -4.199 -4.368
-5.342 -5.657 6.244
ATOMIC_POSITIONS crystal
Co 0.113 0.367 0.621
Co 0.000 0.000 0.500
Co 0.887 0.633 0.379
Co 0.248 0.752 0.258
Co 0.367 0.113 0.379
Co 0.633 0.887 0.621
Ta 0.741 0.259 0.000
Ta 0.500 0.500 0.252
Co 0.633 0.887 0.379
Ta 0.500 0.500 0.748
Si 0.000 0.000 0.745
Co 0.113 0.367 0.379
Co 0.887 0.633 0.621
Co 0.362 0.116 0.130
Co 0.884 0.638 0.130
Co 0.116 0.362 0.870
Si 0.000 0.000 0.255
Ta 0.259 0.741 0.000
Co 0.000 0.000 0.000
Co 0.752 0.248 0.258
Co 0.638 0.884 0.870
Si 0.736 0.264 0.500
Co 0.116 0.362 0.130
Co 0.248 0.752 0.742
Si 0.264 0.736 0.500
Co 0.362 0.116 0.870
Co 0.884 0.638 0.870
Co 0.500 0.500 0.000
Co 0.500 0.500 0.500
Co 0.638 0.884 0.130
Co 0.752 0.248 0.742
Co 0.367 0.113 0.621
```

---

[9]
## Ta2CoSi (GGA-PBEsol)

Data for a relaxed structure of Ta2CoSi. Values from VASP.

Output
Final energy in eV/atom: -9.923
M_tot in μB per cell: 0.0
Space group: Imm2, No. 44
Formation energy (no corrections) in eV/atom: -0.276

Cell and atoms, written as Quantum ESPRESSO input:
```
&SYSTEM
  ibrav = 0, nat = 4, ntyp = 3
/
ATOMIC_SPECIES
Co 58.93 Co.upf
Si 28.09 Si.upf
Ta 180.95 Ta.upf
CELL_PARAMETERS angstrom
3.093 0.000 0.000
0.000 4.239 0.000
-1.547 -2.119 4.378
ATOMIC_POSITIONS crystal
Co 0.517 0.517 0.033
Si 0.219 0.719 0.439
Ta 0.997 0.997 0.994
Ta 0.767 0.267 0.534
```

---

[10]
## Ta2CoSi (GGA-PBEsol)

Data for a relaxed structure of Ta2CoSi. Values from VASP.

Output
Final energy in eV/atom: -9.836
M_tot in μB per cell: 0.5
Space group: P4/mmm, No. 123
Formation energy (no corrections) in eV/atom: -0.190

Cell and atoms, written as Quantum ESPRESSO input:
```
&SYSTEM
  ibrav = 0, nat = 4, ntyp = 3
/
ATOMIC_SPECIES
Si 28.09 Si.upf
Co 58.93 Co.upf
Ta 180.95 Ta.upf
CELL_PARAMETERS angstrom
3.299 0.000 0.000
0.000 3.299 0.000
0.000 0.000 5.333
ATOMIC_POSITIONS crystal
Si 0.500 0.500 0.500
Co 0.500 0.500 0.000
Ta 0.000 0.000 0.749
Ta 0.000 0.000 0.251
```

---

[11]
## Ta2CoSi (GGA-PBEsol)

Data for a relaxed structure of Ta2CoSi. Values from VASP.

Output
Final energy in eV/atom: -9.913
M_tot in μB per cell: 0.0
Space group: Pmmm, No. 47
Formation energy (no corrections) in eV/atom: -0.267

Cell and atoms, written as Quantum ESPRESSO input:
```
&SYSTEM
  ibrav = 0, nat = 4, ntyp = 3
/
ATOMIC_SPECIES
Ta 180.95 Ta.upf
Co 58.93 Co.upf
Si 28.09 Si.upf
CELL_PARAMETERS angstrom
3.654 0.000 0.000
0.000 3.816 0.000
0.000 0.000 4.123
ATOMIC_POSITIONS crystal
Ta 0.500 0.000 0.500
Co 0.500 0.500 0.000
Ta 0.000 0.000 0.000
Si 0.000 0.500 0.500
```

---

[12]
## TbCo9Si4 (GGA-PBEsol)

Data for a relaxed structure of TbCo9Si4. Values from VASP.

Output
Final energy in eV/atom: -7.535
M_tot in μB per cell: 6.2
Space group: I4/mcm, No. 140
Formation energy (no corrections) in eV/atom: -0.561

Cell and atoms, written as Quantum ESPRESSO input:
```
&SYSTEM
  ibrav = 0, nat = 28, ntyp = 3
/
ATOMIC_SPECIES
Si 28.09 Si.upf
Co 58.93 Co.upf
Tb 158.93 Tb.upf
CELL_PARAMETERS angstrom
7.608 0.000 0.000
-3.804 6.785 -0.009
0.000 -4.257 6.305
ATOMIC_POSITIONS crystal
Si 0.548 0.757 0.048
Co 0.000 0.000 0.500
Co 0.310 0.360 0.810
Si 0.048 0.757 0.209
Si 0.291 0.243 0.452
Co 0.500 0.000 0.000
Co 0.949 0.640 0.449
Co 0.300 0.000 0.571
Co 0.571 0.000 0.700
Co 0.429 0.000 0.300
Co 0.690 0.640 0.190
Co 0.200 0.000 0.071
Co 0.810 0.360 0.051
Co 0.551 0.360 0.310
Tb 0.250 0.500 0.250
Co 0.800 0.000 0.929
Si 0.709 0.757 0.548
Co 0.190 0.640 0.949
Tb 0.750 0.500 0.750
Co 0.700 0.000 0.429
Si 0.452 0.243 0.952
Co 0.051 0.360 0.551
Co 0.071 0.000 0.800
Si 0.952 0.243 0.791
Si 0.209 0.757 0.709
Co 0.449 0.640 0.690
Si 0.791 0.243 0.291
Co 0.929 0.000 0.200
```

---

[13]
## TbCoSi2 (GGA-PBEsol)

Data for a relaxed structure of TbCoSi2. Values from VASP.

Output
Final energy in eV/atom: -6.930
M_tot in μB per cell: 0.0
Space group: Cmcm, No. 63
Formation energy (no corrections) in eV/atom: -0.870

Cell and atoms, written as Quantum ESPRESSO input:
```
&SYSTEM
  ibrav = 0, nat = 8, ntyp = 3
/
ATOMIC_SPECIES
Si 28.09 Si.upf
Tb 158.93 Tb.upf
Co 58.93 Co.upf
CELL_PARAMETERS angstrom
3.956 0.000 0.000
0.000 3.986 0.000
0.000 1.993 8.040
ATOMIC_POSITIONS crystal
Si 0.250 0.250 0.500
Si 0.750 0.457 0.086
Si 0.250 0.543 0.914
Tb 0.250 0.892 0.215
Co 0.750 0.320 0.359
Co 0.250 0.680 0.641
Si 0.750 0.750 0.500
Tb 0.750 0.108 0.785
```

---

[14]
## TbCo2Si2 (GGA-PBEsol)

Data for a relaxed structure of TbCo2Si2. Values from VASP.

Output
Final energy in eV/atom: -7.289
M_tot in μB per cell: 0.0
Space group: I4/mmm, No. 139
Formation energy (no corrections) in eV/atom: -0.893

Cell and atoms, written as Quantum ESPRESSO input:
```
&SYSTEM
  ibrav = 0, nat = 5, ntyp = 3
/
ATOMIC_SPECIES
Co 58.93 Co.upf
Si 28.09 Si.upf
Tb 158.93 Tb.upf
CELL_PARAMETERS angstrom
-1.908 0.470 3.296
-2.963 -1.971 -1.435
4.348 -3.357 0.762
ATOMIC_POSITIONS crystal
Co 0.250 0.750 0.500
Si 0.371 0.371 0.742
Co 0.750 0.250 0.500
Si 0.629 0.629 0.258
Tb 0.000 0.000 0.000
```

---

[15]
## Tb2CoSi2 (GGA-PBEsol)

Data for a relaxed structure of Tb2CoSi2. Values from VASP.

Output
Final energy in eV/atom: -6.660
M_tot in μB per cell: 0.0
Space group: C2/m, No. 12
Formation energy (no corrections) in eV/atom: -0.810

Cell and atoms, written as Quantum ESPRESSO input:
```
&SYSTEM
  ibrav = 0, nat = 10, ntyp = 3
/
ATOMIC_SPECIES
Si 28.09 Si.upf
Co 58.93 Co.upf
Tb 158.93 Tb.upf
CELL_PARAMETERS angstrom
-3.266 -2.414 -0.550
-0.125 -4.157 3.723
-6.114 3.583 5.311
ATOMIC_POSITIONS crystal
Si 0.154 0.259 0.433
Co 0.227 0.927 0.619
Tb 0.686 0.731 0.896
Tb 0.314 0.269 0.104
Si 0.002 0.867 0.129
Si 0.998 0.133 0.871
Si 0.846 0.741 0.567
Tb 0.503 0.667 0.328
Co 0.773 0.073 0.381
Tb 0.497 0.333 0.672
```

---

[16]
## Tb2Co3Si5 (GGA-PBEsol)

Data for a relaxed structure of Tb2Co3Si5. Values from VASP.

Output
Final energy in eV/atom: -7.062
M_tot in μB per cell: 0.5
Space group: C2/c, No. 15
Formation energy (no corrections) in eV/atom: -0.865

Cell and atoms, written as Quantum ESPRESSO input:
```
&SYSTEM
  ibrav = 0, nat = 20, ntyp = 3
/
ATOMIC_SPECIES
Si 28.09 Si.upf
Co 58.93 Co.upf
Tb 158.93 Tb.upf
CELL_PARAMETERS angstrom
5.441 -0.001 -0.001
-2.557 7.344 -0.005
-2.557 -1.387 7.212
ATOMIC_POSITIONS crystal
Si 0.834 0.738 0.935
Si 0.250 0.230 0.770
Co 0.127 0.736 0.460
Si 0.666 0.065 0.262
Co 0.873 0.264 0.540
Si 0.166 0.262 0.065
Co 0.750 0.003 0.997
Tb 0.764 0.403 0.130
Si 0.334 0.935 0.738
Si 0.750 0.512 0.488
Tb 0.236 0.597 0.870
Co 0.373 0.540 0.264
Si 0.750 0.214 0.786
Si 0.250 0.786 0.214
Tb 0.264 0.130 0.403
Co 0.250 0.997 0.003
Co 0.627 0.460 0.736
Si 0.750 0.770 0.230
Si 0.250 0.488 0.512
Tb 0.736 0.870 0.597
```

---

[17]
## Co2Si2Tc (GGA-PBEsol)

Data for a relaxed structure of Co2Si2Tc. Values from VASP.

Output
Final energy in eV/atom: -8.199
M_tot in μB per cell: 0.0
Space group: P4/mbm, No. 127
Formation energy (no corrections) in eV/atom: -0.552

Cell and atoms, written as Quantum ESPRESSO input:
```
&SYSTEM
  ibrav = 0, nat = 10, ntyp = 3
/
ATOMIC_SPECIES
Co 58.93 Co.upf
Si 28.09 Si.upf
Tc 98.00 Tc.upf
CELL_PARAMETERS angstrom
2.538 0.000 0.000
0.000 6.648 0.000
0.000 0.000 6.648
ATOMIC_POSITIONS crystal
Co 0.500 0.147 0.647
Si 0.000 0.149 0.351
Tc 0.000 0.000 0.000
Co 0.500 0.853 0.353
Co 0.500 0.647 0.853
Si 0.000 0.851 0.649
Co 0.500 0.353 0.147
Tc 0.000 0.500 0.500
Si 0.000 0.351 0.851
Si 0.000 0.649 0.149
```

---

[18]
## CoSiTe2 (GGA-PBEsol)

Data for a relaxed structure of CoSiTe2. Values from VASP.

Output
Final energy in eV/atom: -4.484
M_tot in μB per cell: 1.4
Space group: I-4m2, No. 119
Formation energy (no corrections) in eV/atom: 0.650

Cell and atoms, written as Quantum ESPRESSO input:
```
&SYSTEM
  ibrav = 0, nat = 4, ntyp = 3
/
ATOMIC_SPECIES
Te 127.60 Te.upf
Si 28.09 Si.upf
Co 58.93 Co.upf
CELL_PARAMETERS angstrom
3.841 0.000 0.000
0.000 3.841 0.000
-1.921 -1.921 5.547
ATOMIC_POSITIONS crystal
Te 0.000 0.000 0.000
Si 0.250 0.750 0.500
Co 0.500 0.500 0.000
Te 0.750 0.250 0.500
```

---

[19]
## CoSiTe2 (GGA-PBEsol)

Data for a relaxed structure of CoSiTe2. Values from VASP.

Output
Final energy in eV/atom: -5.119
M_tot in μB per cell: 0.0
Space group: Pm, No. 6
Formation energy (no corrections) in eV/atom: 0.015

Cell and atoms, written as Quantum ESPRESSO input:
```
&SYSTEM
  ibrav = 0, nat = 4, ntyp = 3
/
ATOMIC_SPECIES
Te 127.60 Te.upf
Co 58.93 Co.upf
Si 28.09 Si.upf
CELL_PARAMETERS angstrom
-1.041 0.189 3.486
-1.266 -3.987 -0.162
5.557 -1.096 1.719
ATOMIC_POSITIONS crystal
Te 0.000 0.066 0.905
Co 0.000 0.525 0.634
Si 0.500 0.220 0.612
Te 0.500 0.689 0.349
```

---

[20]
## ThCo2Si2 (GGA-PBEsol)

Data for a relaxed structure of ThCo2Si2. Values from VASP.

Output
Final energy in eV/atom: -7.872
M_tot in μB per cell: 1.0
Space group: I4/mmm, No. 139
Formation energy (no corrections) in eV/atom: -0.857

Cell and atoms, written as Quantum ESPRESSO input:
```
&SYSTEM
  ibrav = 0, nat = 5, ntyp = 3
/
ATOMIC_SPECIES
Co 58.93 Co.upf
Th 232.04 Th.upf
Si 28.09 Si.upf
CELL_PARAMETERS angstrom
3.993 0.000 0.000
0.000 3.993 0.000
-1.996 -1.996 4.779
ATOMIC_POSITIONS crystal
Co 0.750 0.250 0.500
Th 0.000 0.000 0.000
Co 0.250 0.750 0.500
Si 0.366 0.366 0.733
Si 0.634 0.634 0.267
```